# 1
Entry from Alexandria: SbAuO after structural relaxation (PBE).

```
SbAuO
1.0
-1.0859 -1.3454 3.9067
-4.6086 -2.5423 -2.1565
4.3388 -2.8206 -2.1013
O Sb Au
2 2 2
direct
0.2484 0.8732 0.4967
0.7516 0.1268 0.5033
0.2872 0.2453 0.5745
0.7128 0.7547 0.4255
0.0308 0.2686 0.0616
0.9692 0.7314 0.9384
```

Crystal system: monoclinic
Total moment, μB/atom: 0.000
Density of states at the Fermi level, states/eV/f.u.: 0.3
E_tot, hartree per atom: -0.1684
V, Å³/f.u.: 60.1



# 2
Entry from Alexandria: Sb2AuO2 after structural relaxation (PBE).

```
Sb2AuO2
1.0
8.0264 0.0000 0.0000
0.0000 8.0264 0.0000
0.0000 0.0000 3.0230
Sb Au O
4 2 4
direct
0.2489 0.7489 0.5000
0.7511 0.2511 0.5000
0.2511 0.2489 0.5000
0.7489 0.7511 0.5000
0.5000 0.5000 0.0000
0.0000 0.0000 0.0000
0.1295 0.3705 0.0000
0.8705 0.6295 0.0000
0.6295 0.1295 0.0000
0.3705 0.8705 0.0000
```

Crystal system: tetragonal
Total moment, μB/atom: 0.000
Density of states at the Fermi level, states/eV/f.u.: 2.2
E_tot, hartree per atom: -0.1732
V, Å³/f.u.: 97.4



no.,uncorrected formation energy (eV per atom)
1,-0.463
2,-0.424